Model i:
A relaxed Pm2HgPd4 crystal. Source: Alexandria via LeMat-Bulk, functional PBE.

abc: 4.1486 4.1486 18.2882
angles: 90.00 90.00 90.00
Space group I4/mmm (No. 139)
One atom of each set of equivalent atoms:
1 Pm 0.0000 0.0000 0.1276 (multiplicity 4)
2 Hg 0.0000 0.0000 0.5000 (multiplicity 2)
3 Pd 0.0000 0.0000 0.3530 (multiplicity 4)
4 Pd 0.0000 0.5000 0.2500 (multiplicity 4)

Crystal system = tetragonal

***

Model ii:
A relaxed Pm2HgPd4 crystal. Source: Alexandria via LeMat-Bulk, functional PBE.

abc: 5.0262 5.0262 14.3661
angles: 90.00 90.00 90.00
Space group I4/mmm (No. 139)
One atom of each set of equivalent atoms:
1 Pm 0.0000 0.0000 0.1286 (multiplicity 4)
2 Hg 0.0000 0.0000 0.5000 (multiplicity 2)
3 Pd 0.0000 0.0000 0.3120 (multiplicity 4)
4 Pd 0.0000 0.5000 0.0000 (multiplicity 4)

Crystal system = tetragonal

***

Quick one: least stable of them? model ii

***

Model i:
A relaxed PmHg2Pd5 crystal. Source: Alexandria via LeMat-Bulk, functional PBE.

abc: 7.3581 7.3581 11.1970
angles: 90.00 90.00 90.00
Space group I4/mcm (No. 140)
One atom of each set of equivalent atoms:
1 Pm 0.0000 0.0000 0.2500 (multiplicity 4)
2 Hg 0.1564 0.3436 0.0000 (multiplicity 8)
3 Pd 0.0000 0.0000 0.0000 (multiplicity 4)
4 Pd 0.1407 0.3593 0.3328 (multiplicity 16)

Crystal system = tetragonal

***

Model ii:
A relaxed PmHg2Pd5 crystal. Source: Alexandria via LeMat-Bulk, functional PBE.

abc: 16.6702 4.2646 4.2650
angles: 90.00 104.70 90.00
Space group C2/m (No. 12)
One atom of each set of equivalent atoms:
1 Pm 0.0000 0.0000 0.0000 (multiplicity 2)
2 Hg 0.2472 0.5000 0.7475 (multiplicity 4)
3 Pd 0.0000 0.5000 0.5000 (multiplicity 2)
4 Pd 0.1276 0.0000 0.6272 (multiplicity 4)
5 Pd 0.1276 0.5000 0.1279 (multiplicity 4)

Crystal system = monoclinic

***

Quick one: least stable of them? model i

***

Model i:
A relaxed PmSmHgPd crystal. Source: Alexandria via LeMat-Bulk, functional PBE.

abc: 7.3980 7.3980 7.3980
angles: 90.00 90.00 90.00
Space group F-43m (No. 216)
One atom of each set of equivalent atoms:
1 Pm 0.0000 0.0000 0.0000 (multiplicity 4)
2 Sm 0.0000 0.0000 0.5000 (multiplicity 4)
3 Hg 0.2500 0.2500 0.7500 (multiplicity 4)
4 Pd 0.2500 0.2500 0.2500 (multiplicity 4)

Crystal system = cubic

***

Model ii:
A relaxed PmSmHgPd crystal. Source: Alexandria via LeMat-Bulk, functional PBE.

abc: 4.7552 3.9059 11.2617
angles: 90.00 90.00 90.00
Space group Amm2 (No. 38)
One atom of each set of equivalent atoms:
1 Pm 0.0000 0.0000 0.0000 (multiplicity 2)
2 Sm 0.5000 0.0000 0.2804 (multiplicity 2)
3 Hg 0.5000 0.0000 0.5591 (multiplicity 2)
4 Pd 0.0000 0.0000 0.7252 (multiplicity 2)

Crystal system = orthorhombic

***

Quick one: least stable of them? model i

***

Model i:
A relaxed TbPmHgPd crystal. Source: Alexandria via LeMat-Bulk, functional PBE.

abc: 4.7449 3.8729 11.1260
angles: 90.00 90.00 90.00
Space group Amm2 (No. 38)
One atom of each set of equivalent atoms:
1 Tb 0.0000 0.0000 0.0000 (multiplicity 2)
2 Pm 0.5000 0.0000 0.7176 (multiplicity 2)
3 Hg 0.0000 0.0000 0.2793 (multiplicity 2)
4 Pd 0.5000 0.0000 0.4460 (multiplicity 2)

Crystal system = orthorhombic

***

Model ii:
A relaxed TbPmHgPd crystal. Source: Alexandria via LeMat-Bulk, functional PBE.

abc: 7.3400 7.3400 7.3400
angles: 90.00 90.00 90.00
Space group F-43m (No. 216)
One atom of each set of equivalent atoms:
1 Tb 0.0000 0.0000 0.0000 (multiplicity 4)
2 Pm 0.0000 0.0000 0.5000 (multiplicity 4)
3 Hg 0.2500 0.2500 0.2500 (multiplicity 4)
4 Pd 0.2500 0.2500 0.7500 (multiplicity 4)

Crystal system = cubic

***

Quick one: least stable of them? model ii

***

Model i:
A relaxed PrHg2Pd6 crystal. Source: Alexandria via LeMat-Bulk, functional PBE.

abc: 9.0883 9.0883 9.0883
angles: 90.00 90.00 90.00
Space group Fm-3m (No. 225)
One atom of each set of equivalent atoms:
1 Pr 0.0000 0.0000 0.0000 (multiplicity 4)
2 Hg 0.2500 0.2500 0.2500 (multiplicity 8)
3 Pd 0.0000 0.0000 0.2888 (multiplicity 24)

Crystal system = cubic

***

Model ii:
A relaxed PrHg2Pd6 crystal. Source: Alexandria via LeMat-Bulk, functional PBE.

abc: 5.5317 5.5317 7.3699
angles: 90.00 90.00 120.00
Space group P6/mmm (No. 191)
One atom of each set of equivalent atoms:
1 Pr 0.0000 0.0000 0.0000 (multiplicity 1)
2 Hg 0.3333 0.6667 0.5000 (multiplicity 2)
3 Pd 0.0000 0.5000 0.1861 (multiplicity 6)

Crystal system = hexagonal

***

Quick one: least stable of them? model i

***

Model i:
A relaxed Pr2HgPd9 crystal. Source: Alexandria via LeMat-Bulk, functional PBE.

abc: 5.4280 5.4280 26.9694
angles: 90.00 90.00 120.00
Space group R-3m (No. 166, hexagonal axes)
One atom of each set of equivalent atoms:
1 Pr 0.0000 0.0000 0.1340 (multiplicity 6)
2 Hg 0.0000 0.0000 0.0000 (multiplicity 3)
3 Pd 0.0000 0.0000 0.3331 (multiplicity 6)
4 Pd 0.0000 0.0000 0.5000 (multiplicity 3)
5 Pd 0.0030 0.5015 0.9155 (multiplicity 18)

Crystal system = trigonal

***

Model ii:
A relaxed Pr2HgPd9 crystal. Source: Alexandria via LeMat-Bulk, functional PBE.

abc: 4.1767 4.1767 12.4682
angles: 90.00 90.00 90.00
Space group P4/mmm (No. 123)
One atom of each set of equivalent atoms:
1 Pr 0.0000 0.0000 0.1731 (multiplicity 2)
2 Hg 0.0000 0.0000 0.5000 (multiplicity 1)
3 Pd 0.0000 0.5000 0.0000 (multiplicity 2)
4 Pd 0.0000 0.5000 0.3413 (multiplicity 4)
5 Pd 0.5000 0.5000 0.1690 (multiplicity 2)
6 Pd 0.5000 0.5000 0.5000 (multiplicity 1)

Crystal system = tetragonal

***

Quick one: least stable of them? model i